First-principles (PBE-GGA) data for an optimized crystal structure of Ti2CoReTc, as listed in Alexandria.

Cell: 4.382 4.382 4.303 Å, 90.00 90.00 90.00°
Fractional coordinates of all 5 atoms:
1 Ti 0.000 0.500 0.000
2 Ti 0.500 0.000 0.000
3 Co 0.000 0.000 0.000
4 Re 0.500 0.500 0.500
5 Tc 0.000 0.000 0.500

Results
* volume: 16.523 Å³/atom
* energy of formation: 3.889 eV per formula unit

First-principles (PBE-GGA) data for an optimized crystal structure of VCoReTc, as listed in Alexandria.

Cell: 6.028 6.028 6.028 Å, 90.00 90.00 90.00°
Fractional coordinates of all 16 atoms:
1 V 0.000 0.000 0.000
2 V 0.000 0.500 0.500
3 V 0.500 0.000 0.500
4 V 0.500 0.500 0.000
5 Co 0.250 0.250 0.250
6 Co 0.250 0.750 0.750
7 Co 0.750 0.250 0.750
8 Co 0.750 0.750 0.250
9 Re 0.250 0.250 0.750
10 Re 0.250 0.750 0.250
11 Re 0.750 0.250 0.250
12 Re 0.750 0.750 0.750
13 Tc 0.000 0.000 0.500
14 Tc 0.000 0.500 0.000
15 Tc 0.500 0.000 0.000
16 Tc 0.500 0.500 0.500

Results
* volume: 13.688 Å³/atom
* energy of formation: 0.084 eV per formula unit

First-principles (PBE-GGA) data for an optimized crystal structure of CoReTcW, as listed in Alexandria.

Cell: 6.133 6.133 6.133 Å, 90.00 90.00 90.00°
Fractional coordinates of all 16 atoms:
1 Co 0.000 0.000 0.000
2 Co 0.000 0.500 0.500
3 Co 0.500 0.000 0.500
4 Co 0.500 0.500 0.000
5 Re 0.250 0.250 0.250
6 Re 0.250 0.750 0.750
7 Re 0.750 0.250 0.750
8 Re 0.750 0.750 0.250
9 Tc 0.250 0.250 0.750
10 Tc 0.250 0.750 0.250
11 Tc 0.750 0.250 0.250
12 Tc 0.750 0.750 0.750
13 W 0.000 0.000 0.500
14 W 0.000 0.500 0.000
15 W 0.500 0.000 0.000
16 W 0.500 0.500 0.500

Results
* volume: 14.418 Å³/atom
* energy of formation: 0.762 eV per formula unit

First-principles (PBE-GGA) data for an optimized crystal structure of Co4ReTe, as listed in Alexandria.

Cell: 4.775 4.775 4.775 Å, 60.00 60.00 60.00°
Fractional coordinates of all 6 atoms:
1 Co 0.124 0.124 0.124
2 Co 0.124 0.124 0.628
3 Co 0.124 0.628 0.124
4 Co 0.628 0.124 0.124
5 Re 0.750 0.750 0.750
6 Te 0.500 0.500 0.500

Results
* volume: 12.831 Å³/atom
* total energy: -6.847 eV per atom

First-principles (PBE-GGA) data for an optimized crystal structure of CoReTe, as listed in Alexandria.

Cell: 3.065 3.065 5.978 Å, 90.00 90.00 120.00°
Fractional coordinates of all 3 atoms:
1 Co 0.000 0.000 0.000
2 Re 0.333 0.667 0.303
3 Te 0.667 0.333 0.665

Results
* volume: 16.208 Å³/atom
* total energy: -6.873 eV per atom

First-principles (PBE-GGA) data for an optimized crystal structure of CoReTe, as listed in Alexandria.

Cell: 6.054 6.054 6.054 Å, 90.00 90.00 90.00°
Fractional coordinates of all 12 atoms:
1 Co 0.000 0.000 0.000
2 Co 0.000 0.500 0.500
3 Co 0.500 0.000 0.500
4 Co 0.500 0.500 0.000
5 Re 0.250 0.250 0.250
6 Re 0.250 0.750 0.750
7 Re 0.750 0.250 0.750
8 Re 0.750 0.750 0.250
9 Te 0.000 0.000 0.500
10 Te 0.000 0.500 0.000
11 Te 0.500 0.000 0.000
12 Te 0.500 0.500 0.500

Results
* volume: 18.494 Å³/atom
* total energy: -6.961 eV per atom

First-principles (PBE-GGA) data for an optimized crystal structure of CoReTe, as listed in Alexandria.

Cell: 3.236 3.236 9.091 Å, 90.00 90.00 90.00°
Fractional coordinates of all 6 atoms:
1 Co 0.000 0.000 0.000
2 Co 0.500 0.500 0.500
3 Re 0.000 0.000 0.662
4 Re 0.500 0.500 0.162
5 Te 0.000 0.000 0.332
6 Te 0.500 0.500 0.832

Results
* volume: 15.866 Å³/atom
* total energy: -6.899 eV per atom

First-principles (PBE-GGA) data for an optimized crystal structure of CoReTe, as listed in Alexandria.

Cell: 4.216 4.216 3.047 Å, 90.00 90.00 120.00°
Fractional coordinates of all 3 atoms:
1 Co 0.000 0.000 0.000
2 Re 0.667 0.333 0.496
3 Te 0.333 0.667 0.985

Results
* volume: 15.634 Å³/atom
* total energy: -6.765 eV per atom

First-principles (PBE-GGA) data for an optimized crystal structure of CoReTe4, as listed in Alexandria.

Cell: 6.199 6.199 6.199 Å, 60.00 60.00 60.00°
Fractional coordinates of all 6 atoms:
1 Co 0.000 0.000 0.000
2 Re 0.750 0.750 0.750
3 Te 0.376 0.376 0.376
4 Te 0.376 0.376 0.873
5 Te 0.376 0.873 0.376
6 Te 0.873 0.376 0.376

Results
* volume: 28.069 Å³/atom
* total energy: -3.613 eV per atom

First-principles (PBE-GGA) data for an optimized crystal structure of CoRe4Te, as listed in Alexandria.

Cell: 5.251 5.251 5.251 Å, 60.00 60.00 60.00°
Fractional coordinates of all 6 atoms:
1 Co 0.000 0.000 0.000
2 Re 0.374 0.374 0.374
3 Re 0.374 0.374 0.877
4 Re 0.374 0.877 0.374
5 Re 0.877 0.374 0.374
6 Te 0.750 0.750 0.750

Results
* volume: 17.067 Å³/atom
* total energy: -9.101 eV per atom

First-principles (PBE-GGA) data for an optimized crystal structure of CoReTe, as listed in Alexandria.

Cell: 11.106 4.410 4.411 Å, 90.00 90.00 90.00°
Fractional coordinates of all 12 atoms:
1 Co 0.000 0.000 0.000
2 Co 0.000 0.500 0.500
3 Co 0.500 0.000 0.001
4 Co 0.500 0.500 0.501
5 Re 0.131 0.000 0.500
6 Re 0.131 0.500 0.000
7 Re 0.869 0.000 0.500
8 Re 0.869 0.500 0.000
9 Te 0.279 0.000 0.000
10 Te 0.279 0.500 0.500
11 Te 0.721 0.000 0.000
12 Te 0.721 0.500 0.500

Results
* volume: 18.005 Å³/atom
* total energy: -6.906 eV per atom

First-principles (PBE-GGA) data for an optimized crystal structure of Th8Co2Re, as listed in Alexandria.

Cell: 7.778 7.778 5.914 Å, 100.10 100.10 117.61°
Fractional coordinates of all 11 atoms:
1 Th 0.101 0.342 0.583
2 Th 0.216 0.784 0.000
3 Th 0.342 0.101 0.583
4 Th 0.373 0.373 0.176
5 Th 0.627 0.627 0.824
6 Th 0.658 0.899 0.417
7 Th 0.784 0.216 0.000
8 Th 0.899 0.658 0.417
9 Co 0.279 0.721 0.500
10 Co 0.721 0.279 0.500
11 Re 0.000 0.000 0.000

Results
* volume: 27.118 Å³/atom
* energy of formation: 0.131 eV per formula unit

First-principles (PBE-GGA) data for an optimized crystal structure of ThCo2Re, as listed in Alexandria.

Cell: 4.125 4.125 14.670 Å, 90.00 90.00 120.00°
Fractional coordinates of all 12 atoms:
1 Th 0.000 0.000 0.000
2 Th 0.333 0.667 0.667
3 Th 0.667 0.333 0.333
4 Co 0.000 0.000 0.200
5 Co 0.000 0.000 0.800
6 Co 0.333 0.667 0.467
7 Co 0.333 0.667 0.866
8 Co 0.667 0.333 0.134
9 Co 0.667 0.333 0.533
10 Re 0.000 0.000 0.500
11 Re 0.333 0.667 0.167
12 Re 0.667 0.333 0.833

Results
* volume: 18.017 Å³/atom
* energy of formation: -0.396 eV per formula unit

First-principles (PBE-GGA) data for an optimized crystal structure of Th2CoRe, as listed in Alexandria.

Cell: 3.556 3.556 26.432 Å, 90.00 90.00 120.00°
Fractional coordinates of all 12 atoms:
1 Th 0.000 0.000 0.099
2 Th 0.000 0.000 0.901
3 Th 0.333 0.667 0.568
4 Th 0.333 0.667 0.766
5 Th 0.667 0.333 0.234
6 Th 0.667 0.333 0.432
7 Co 0.000 0.000 0.500
8 Co 0.333 0.667 0.167
9 Co 0.667 0.333 0.833
10 Re 0.000 0.000 0.000
11 Re 0.333 0.667 0.667
12 Re 0.667 0.333 0.333

Results
* volume: 24.123 Å³/atom
* energy of formation: 2.933 eV per formula unit

First-principles (PBE-GGA) data for an optimized crystal structure of TiCoRe2, as listed in Alexandria.

Cell: 6.086 6.086 6.086 Å, 90.00 90.00 90.00°
Fractional coordinates of all 16 atoms:
1 Ti 0.000 0.000 0.000
2 Ti 0.000 0.500 0.500
3 Ti 0.500 0.000 0.500
4 Ti 0.500 0.500 0.000
5 Co 0.000 0.000 0.500
6 Co 0.000 0.500 0.000
7 Co 0.500 0.000 0.000
8 Co 0.500 0.500 0.500
9 Re 0.250 0.250 0.250
10 Re 0.250 0.250 0.750
11 Re 0.250 0.750 0.250
12 Re 0.250 0.750 0.750
13 Re 0.750 0.250 0.250
14 Re 0.750 0.250 0.750
15 Re 0.750 0.750 0.250
16 Re 0.750 0.750 0.750

Results
* volume: 14.091 Å³/atom
* energy of formation: 0.328 eV per formula unit

First-principles (PBE-GGA) data for an optimized crystal structure of TiCo2Re, as listed in Alexandria.

Cell: 3.748 3.748 3.619 Å, 90.00 90.00 90.00°
Fractional coordinates of all 4 atoms:
1 Ti 0.000 0.000 0.000
2 Co 0.000 0.500 0.500
3 Co 0.500 0.000 0.500
4 Re 0.500 0.500 0.000

Results
* volume: 12.711 Å³/atom
* energy of formation: -0.569 eV per formula unit

First-principles (PBE-GGA) data for an optimized crystal structure of TiCo4Re, as listed in Alexandria.

Cell: 4.688 4.688 4.688 Å, 60.00 60.00 60.00°
Fractional coordinates of all 6 atoms:
1 Ti 0.000 0.000 0.000
2 Co 0.375 0.375 0.375
3 Co 0.375 0.375 0.875
4 Co 0.375 0.875 0.375
5 Co 0.875 0.375 0.375
6 Re 0.750 0.750 0.750

Results
* volume: 12.145 Å³/atom
* energy of formation: -0.544 eV per formula unit

First-principles (PBE-GGA) data for an optimized crystal structure of Ti5Co4Re, as listed in Alexandria.

Cell: 3.046 3.046 14.620 Å, 90.00 90.00 90.00°
Fractional coordinates of all 10 atoms:
1 Ti 0.000 0.000 0.000
2 Ti 0.000 0.000 0.196
3 Ti 0.000 0.000 0.395
4 Ti 0.000 0.000 0.605
5 Ti 0.000 0.000 0.804
6 Co 0.500 0.500 0.097
7 Co 0.500 0.500 0.291
8 Co 0.500 0.500 0.709
9 Co 0.500 0.500 0.903
10 Re 0.500 0.500 0.500

Results
* volume: 13.562 Å³/atom
* energy of formation: -4.011 eV per formula unit

First-principles (PBE-GGA) data for an optimized crystal structure of Ti4Co2Re, as listed in Alexandria.

Cell: 6.002 6.002 5.982 Å, 90.00 90.00 90.00°
Fractional coordinates of all 14 atoms:
1 Ti 0.250 0.250 0.250
2 Ti 0.250 0.250 0.750
3 Ti 0.250 0.750 0.250
4 Ti 0.250 0.750 0.750
5 Ti 0.750 0.250 0.250
6 Ti 0.750 0.250 0.750
7 Ti 0.750 0.750 0.250
8 Ti 0.750 0.750 0.750
9 Co 0.000 0.500 0.000
10 Co 0.000 0.500 0.500
11 Co 0.500 0.000 0.000
12 Co 0.500 0.000 0.500
13 Re 0.000 0.000 0.000
14 Re 0.500 0.500 0.500

Results
* volume: 15.395 Å³/atom
* energy of formation: -1.358 eV per formula unit

First-principles (PBE-GGA) data for an optimized crystal structure of TiCo2Re, as listed in Alexandria.

Cell: 3.683 3.683 16.623 Å, 90.00 90.00 90.00°
Fractional coordinates of all 16 atoms:
1 Ti 0.000 0.000 0.000
2 Ti 0.000 0.500 0.250
3 Ti 0.500 0.000 0.750
4 Ti 0.500 0.500 0.500
5 Co 0.247 0.250 0.625
6 Co 0.250 0.747 0.875
7 Co 0.250 0.753 0.375
8 Co 0.253 0.250 0.125
9 Co 0.747 0.750 0.125
10 Co 0.750 0.247 0.375
11 Co 0.750 0.253 0.875
12 Co 0.753 0.750 0.625
13 Re 0.000 0.000 0.500
14 Re 0.000 0.500 0.750
15 Re 0.500 0.000 0.250
16 Re 0.500 0.500 0.000

Results
* volume: 14.093 Å³/atom
* energy of formation: 1.859 eV per formula unit